1.
A plane-wave DFT calculation with PBE was carried out for a relaxed structure of Cs2CaAu2.

Unit cell a=8.577 b=8.577 c=5.471 alpha=90.00 beta=90.00 gamma=90.00
Space group P4/mbm (No. 127)
Asymmetric unit:
Cs 0.156 0.344 0.000
Ca 0.000 0.000 0.500
Au 0.156 0.656 0.500

Summary:
distance to the lowest polymorph of the same formula	0	kJ/mol of formula units
energy of formation	-0.25	eV per atom
crystal system	tetragonal
electronic total energy	-11.523	eV/f.u.

2.
A plane-wave DFT calculation with PBE was carried out for a relaxed structure of Cs2CaAu2.

Unit cell a=10.048 b=10.048 c=3.959 alpha=90.00 beta=90.00 gamma=90.00
Space group P4/mbm (No. 127)
Asymmetric unit:
Cs 0.130 0.370 0.000
Ca 0.000 0.000 0.000
Au 0.174 0.674 0.500

Summary:
distance to the lowest polymorph of the same formula	106	kJ/mol of formula units
energy of formation	-0.03	eV per atom
crystal system	tetragonal
electronic total energy	-10.425	eV/f.u.

3.
A plane-wave DFT calculation with PBE was carried out for a relaxed structure of CsCaAu.

Unit cell a=16.352 b=4.537 c=7.250 alpha=90.00 beta=90.00 gamma=90.00
Space group Amm2 (No. 38)
Asymmetric unit:
Cs 0.148 0.000 0.000
Ca 0.393 0.000 0.442
Au 0.000 0.000 0.355
Au 0.500 0.000 0.097

Summary:
energy of formation	-0.25	eV per atom
crystal system	orthorhombic
electronic total energy	-6.883	eV/f.u.

4.
A plane-wave DFT calculation with PBE was carried out for a relaxed structure of Cs2CaAu.

Unit cell a=13.197 b=13.197 c=5.950 alpha=90.00 beta=90.00 gamma=90.00
Space group I-42d (No. 122)
Asymmetric unit:
Cs 0.104 0.750 0.125
Ca 0.000 0.000 0.500
Au 0.000 0.000 0.000

Summary:
distance to the lowest polymorph of the same formula	0	kJ/mol of formula units
energy of formation	-0.08	eV per atom
crystal system	tetragonal
electronic total energy	-7.291	eV/f.u.

5.
A plane-wave DFT calculation with PBE was carried out for a relaxed structure of CsCa3Au.

Unit cell a=6.003 b=6.003 c=6.003 alpha=90.00 beta=90.00 gamma=90.00
Space group Pm-3m (No. 221)
Asymmetric unit:
Cs 0.000 0.000 0.000
Ca 0.000 0.500 0.500
Au 0.500 0.500 0.500

Summary:
distance to the lowest polymorph of the same formula	0	kJ/mol of formula units
energy of formation	-0.23	eV per atom
crystal system	cubic
electronic total energy	-11.295	eV/f.u.

6.
A plane-wave DFT calculation with PBE was carried out for a relaxed structure of CsCa3Au.

Unit cell a=5.700 b=5.700 c=5.700 alpha=90.00 beta=90.00 gamma=90.00
Space group Pm-3m (No. 221)
Asymmetric unit:
Cs 0.000 0.000 0.000
Ca 0.000 0.000 0.500
Au 0.500 0.500 0.500

Summary:
distance to the lowest polymorph of the same formula	678	kJ/mol of formula units
energy of formation	1.17	eV per atom
crystal system	cubic
electronic total energy	-4.272	eV/f.u.

7.
A plane-wave DFT calculation with PBE was carried out for a relaxed structure of Cs2CaAu.

Unit cell a=4.5136 b=4.5136 c=39.9924 alpha=90.00 beta=90.00 gamma=120.00
Space group R-3m (No. 166, hexagonal axes)
Asymmetric unit:
Cs 0.0000 0.0000 0.1078
Ca 0.0000 0.0000 0.0000
Au 0.0000 0.0000 0.5000

Summary:
distance to the lowest polymorph of the same formula	50	kJ/mol of formula units
energy of formation	0.05	eV per atom
crystal system	trigonal
electronic total energy	-6.770	eV/f.u.

8.
A plane-wave DFT calculation with PBE was carried out for a relaxed structure of CsCaH6Au2.

Unit cell a=9.566 b=9.708 c=6.874 alpha=90.00 beta=100.89 gamma=90.00
Space group C2/c (No. 15)
Asymmetric unit:
Cs 0.000 0.114 0.250
Ca 0.000 0.418 0.750
H 0.054 0.385 0.077
H 0.094 0.181 0.789
H 0.228 0.460 0.366
Au 0.234 0.359 0.148

Summary:
crystal system	monoclinic
electronic total energy	-31.259	eV/f.u.

9.
A plane-wave DFT calculation with PBE was carried out for a relaxed structure of Cs2CaHfAu.

Unit cell a=6.857 b=6.857 c=5.393 alpha=90.00 beta=90.00 gamma=90.00
Space group P4/mmm (No. 123)
Asymmetric unit:
Cs 0.000 0.500 0.000
Ca 0.000 0.000 0.500
Hf 0.500 0.500 0.500
Au 0.500 0.500 0.000

Summary:
energy of formation	0.65	eV per atom
crystal system	tetragonal
electronic total energy	-13.669	eV/f.u.

10.
A plane-wave DFT calculation with PBE was carried out for a relaxed structure of CsCaHfAu2.

Unit cell a=5.335 b=5.335 c=5.957 alpha=90.00 beta=90.00 gamma=90.00
Space group P4/mmm (No. 123)
Asymmetric unit:
Cs 0.000 0.000 0.000
Ca 0.500 0.500 0.000
Hf 0.000 0.000 0.500
Au 0.000 0.500 0.500

Summary:
energy of formation	0.52	eV per atom
crystal system	tetragonal
electronic total energy	-16.742	eV/f.u.

11.
A plane-wave DFT calculation with PBE was carried out for a relaxed structure of CsCa2MgAu.

Unit cell a=5.921 b=5.921 c=5.484 alpha=90.00 beta=90.00 gamma=90.00
Space group P4/mmm (No. 123)
Asymmetric unit:
Cs 0.000 0.000 0.000
Ca 0.000 0.500 0.500
Mg 0.500 0.500 0.000
Au 0.500 0.500 0.500

Summary:
energy of formation	-0.18	eV per atom
crystal system	tetragonal
electronic total energy	-10.615	eV/f.u.

12.
A plane-wave DFT calculation with PBE was carried out for a relaxed structure of CsNaCa2Au.

Unit cell a=6.227 b=6.227 c=6.805 alpha=90.00 beta=90.00 gamma=90.00
Space group P4/mmm (No. 123)
Asymmetric unit:
Cs 0.000 0.000 0.000
Na 0.000 0.000 0.500
Ca 0.000 0.500 0.500
Au 0.500 0.500 0.000

Summary:
distance to the lowest polymorph of the same formula	328	kJ/mol of formula units
energy of formation	0.50	eV per atom
crystal system	tetragonal
electronic total energy	-6.952	eV/f.u.